[1]
Below is a geometry-optimized Er4Tl2Pb structure, with properties calculated at the PBE level.

```
data_Er4Tl2Pb
_chemical_formula_sum 'Er8 Tl4 Pb2'
_cell_length_a 5.679
_cell_length_b 6.620
_cell_length_c 10.782
_cell_angle_alpha 90.00
_cell_angle_beta 102.32
_cell_angle_gamma 90.00
_space_group_name_H-M_alt 'P 1 21/m 1'
_space_group_IT_number 11
_space_group_name_Hall '-P 2yb'
loop_
_atom_site_label
_atom_site_fract_x
_atom_site_fract_y
_atom_site_fract_z
Er1 0.115 0.250 0.138
Er2 0.248 0.750 0.446
Er3 0.334 0.006 0.734
Tl1 0.209 0.250 0.437
Tl2 0.452 0.750 0.993
Pb1 0.094 0.750 0.163
```

[2]
Below is a geometry-optimized Er2TlPb structure, with properties calculated at the PBE level.

```
data_Er2TlPb
_chemical_formula_sum 'Er4 Tl2 Pb2'
_cell_length_a 6.193
_cell_length_b 4.339
_cell_length_c 8.887
_cell_angle_alpha 90.00
_cell_angle_beta 108.01
_cell_angle_gamma 90.00
_space_group_name_H-M_alt 'P 1 21/m 1'
_space_group_IT_number 11
_space_group_name_Hall '-P 2yb'
loop_
_atom_site_label
_atom_site_fract_x
_atom_site_fract_y
_atom_site_fract_z
Er1 0.191 0.250 0.429
Er2 0.307 0.750 0.070
Tl1 0.394 0.750 0.694
Pb1 0.113 0.250 0.803
```

[3]
Below is a geometry-optimized Er4Tl2Pb structure, with properties calculated at the PBE level.

```
data_Er4Tl2Pb
_chemical_formula_sum 'Er12 Tl6 Pb3'
_cell_length_a 5.2357
_cell_length_b 5.2357
_cell_length_c 26.1440
_cell_angle_alpha 90.00
_cell_angle_beta 90.00
_cell_angle_gamma 120.00
_space_group_name_H-M_alt 'R -3 m'
_space_group_IT_number 166
_space_group_name_Hall '-R 3 2"'
loop_
_atom_site_label
_atom_site_fract_x
_atom_site_fract_y
_atom_site_fract_z
Er1 0.0000 0.0000 0.1206
Er2 0.0000 0.0000 0.3745
Tl1 0.0000 0.0000 0.2581
Pb1 0.0000 0.0000 0.5000
```

[4]
Below is a geometry-optimized ErTmTlPb structure, with properties calculated at the PBE level.

```
data_ErTmTlPb
_chemical_formula_sum 'Er4 Tm4 Tl4 Pb4'
_cell_length_a 7.592
_cell_length_b 7.592
_cell_length_c 7.592
_cell_angle_alpha 90.00
_cell_angle_beta 90.00
_cell_angle_gamma 90.00
_space_group_name_H-M_alt 'F -4 3 m'
_space_group_IT_number 216
_space_group_name_Hall 'F -4 2 3'
loop_
_atom_site_label
_atom_site_fract_x
_atom_site_fract_y
_atom_site_fract_z
Er1 0.000 0.000 0.000
Tm1 0.000 0.000 0.500
Tl1 0.250 0.250 0.250
Pb1 0.250 0.250 0.750
```

[5]
Below is a geometry-optimized ErTmTlPb structure, with properties calculated at the PBE level.

```
data_ErTmTlPb
_chemical_formula_sum 'Er2 Tm2 Tl2 Pb2'
_cell_length_a 4.976
_cell_length_b 4.976
_cell_length_c 8.738
_cell_angle_alpha 90.00
_cell_angle_beta 90.00
_cell_angle_gamma 90.00
_space_group_name_H-M_alt 'I -4 m 2'
_space_group_IT_number 119
_space_group_name_Hall 'I -4 -2'
loop_
_atom_site_label
_atom_site_fract_x
_atom_site_fract_y
_atom_site_fract_z
Er1 0.000 0.000 0.000
Tm1 0.000 0.000 0.500
Tl1 0.000 0.500 0.750
Pb1 0.000 0.500 0.250
```

[6]
Below is a geometry-optimized ErTm5Pb4 structure, with properties calculated at the PBE level.

```
data_ErTm5Pb4
_chemical_formula_sum 'Er2 Tm10 Pb8'
_cell_length_a 17.440
_cell_length_b 3.619
_cell_length_c 9.674
_cell_angle_alpha 90.00
_cell_angle_beta 92.57
_cell_angle_gamma 90.00
_space_group_name_H-M_alt 'C 1 2/m 1'
_space_group_IT_number 12
_space_group_name_Hall '-C 2y'
loop_
_atom_site_label
_atom_site_fract_x
_atom_site_fract_y
_atom_site_fract_z
Er1 0.000 0.000 0.000
Tm1 0.000 0.000 0.500
Tm2 0.156 0.500 0.753
Tm3 0.192 0.500 0.390
Pb1 0.025 0.500 0.252
Pb2 0.182 0.000 0.067
```

no.,total DFT energy (no corrections) (eV/atom)
1,-4.0566
2,-4.1704
3,-4.0172
4,-4.0845
5,-4.1223
6,-4.3479